Below is crystalline HgAs2Pt at its relaxed geometry, with properties calculated at the PBE-GGA level.

Values from the calculation:
formation enthalpy at 0 K	0.075	eV per atom
spin magnetization	0.000	Bohr magnetons per cell

abc: 3.645 3.811 12.967
angles: 90.00 90.00 90.00
Positions (direct):
Hg (0.000, 0.000, 0.000)
Hg (0.500, 0.500, 0.500)
As (0.000, 0.000, 0.644)
As (0.000, 0.500, 0.302)
As (0.500, 0.000, 0.802)
As (0.500, 0.500, 0.144)
Pt (0.000, 0.500, 0.773)
Pt (0.500, 0.000, 0.273)


Below is crystalline HgAsPt2 at its relaxed geometry, with properties calculated at the PBE-GGA level.

Values from the calculation:
formation enthalpy at 0 K	0.077	eV per atom
spin magnetization	0.000	Bohr magnetons per cell

abc: 6.735 7.072 2.968
angles: 90.00 90.00 90.00
Positions (direct):
Hg (0.000, 0.000, 0.000)
Hg (0.500, 0.500, 0.000)
As (0.000, 0.500, 0.000)
As (0.500, 0.000, 0.000)
Pt (0.250, 0.250, 0.500)
Pt (0.250, 0.750, 0.500)
Pt (0.750, 0.250, 0.500)
Pt (0.750, 0.750, 0.500)


Below is crystalline HgAs2Pt at its relaxed geometry, with properties calculated at the PBE-GGA level.

Values from the calculation:
formation enthalpy at 0 K	0.190	eV per atom
spin magnetization	0.000	Bohr magnetons per cell

abc: 2.912 4.107 6.769
angles: 90.00 90.00 90.00
Positions (direct):
Hg (0.000, 0.000, 0.000)
As (0.000, 0.000, 0.448)
As (0.500, 0.500, 0.693)
Pt (0.500, 0.500, 0.307)


Below is crystalline HgAs2Pt at its relaxed geometry, with properties calculated at the PBE-GGA level.

Values from the calculation:
formation enthalpy at 0 K	0.330	eV per atom
spin magnetization	0.000	Bohr magnetons per cell

abc: 5.019 5.019 3.009
angles: 90.00 90.00 90.00
Positions (direct):
Hg (0.000, 0.000, 0.000)
As (0.000, 0.500, 0.500)
As (0.500, 0.000, 0.500)
Pt (0.500, 0.500, 0.000)


Below is crystalline HgAsPt2 at its relaxed geometry, with properties calculated at the PBE-GGA level.

Values from the calculation:
formation enthalpy at 0 K	-0.005	eV per atom
spin magnetization	0.000	Bohr magnetons per cell

abc: 3.073 3.073 8.044
angles: 90.00 90.00 90.00
Positions (direct):
Hg (0.000, 0.000, 0.000)
As (0.500, 0.500, 0.649)
Pt (0.000, 0.000, 0.477)
Pt (0.500, 0.500, 0.241)


Below is crystalline HgAs2Pt at its relaxed geometry, with properties calculated at the PBE-GGA level.

Values from the calculation:
formation enthalpy at 0 K	-0.139	eV per atom
spin magnetization	0.000	Bohr magnetons per cell

abc: 3.824 3.824 20.878
angles: 90.00 90.00 120.00
Positions (direct):
Hg (0.000, 0.000, 0.000)
Hg (0.333, 0.667, 0.667)
Hg (0.667, 0.333, 0.333)
As (0.000, 0.000, 0.227)
As (0.000, 0.000, 0.773)
As (0.333, 0.667, 0.440)
As (0.333, 0.667, 0.894)
As (0.667, 0.333, 0.106)
As (0.667, 0.333, 0.560)
Pt (0.000, 0.000, 0.500)
Pt (0.333, 0.667, 0.167)
Pt (0.667, 0.333, 0.833)


Below is crystalline HgAsPt4 at its relaxed geometry, with properties calculated at the PBE-GGA level.

Values from the calculation:
formation enthalpy at 0 K	0.191	eV per atom
spin magnetization	0.000	Bohr magnetons per cell

abc: 5.351 5.351 5.351
angles: 60.00 60.00 60.00
Positions (direct):
Hg (0.000, 0.000, 0.000)
As (0.250, 0.250, 0.250)
Pt (0.125, 0.625, 0.625)
Pt (0.625, 0.125, 0.625)
Pt (0.625, 0.625, 0.125)
Pt (0.625, 0.625, 0.625)


Below is crystalline Hg2AsPt at its relaxed geometry, with properties calculated at the PBE-GGA level.

Values from the calculation:
formation enthalpy at 0 K	0.255	eV per atom
spin magnetization	0.000	Bohr magnetons per cell

abc: 2.989 2.989 9.066
angles: 90.00 90.00 90.00
Positions (direct):
Hg (0.000, 0.000, 0.225)
Hg (0.000, 0.000, 0.775)
As (0.500, 0.500, 0.500)
Pt (0.500, 0.500, 0.000)